Material: HgMoNO2
Method: DFT, PBE with a Hubbard U
State: optimized geometry

Results
The calculation puts the energy at -3.95 eV per atom.

a = 4.1418 Å, b = 4.1418 Å, c = 4.2922 Å
α = 90.00°, β = 90.00°, γ = 90.00°
Last column: nearest neighbours and their distance in Å.
Positions (direct):
N  0.0000  0.0000  0.5000  2 Hg 2.15
Hg  0.0000  0.0000  0.0000  4 O 2.07, 2 N 2.15
O  0.0000  0.5000  0.0000  2 Hg 2.07
O  0.5000  0.0000  0.0000  2 Hg 2.07
Mo  0.5000  0.5000  0.5000  4 N 2.93, 8 O 2.98